1.
## BaSnRh2 (GGA-PBE)

Data for a relaxed BaSnRh2 crystal.

It has space group R-3m (No. 166, hexagonal axes), with a = 4.5886 Å, b = 4.5886 Å, c = 16.8677 Å, α = 90.00°, β = 90.00° and γ = 120.00°. Symmetry generates all atoms from Ba at (0.0000, 0.0000, 0.0000), Sn at (0.0000, 0.0000, 0.5000) and Rh at (0.0000, 0.0000, 0.1926).

The calculation puts the energy relative to the elements at -0.44 eV per atom.



2.
## BaSnRh3 (GGA-PBE)

Data for a relaxed BaSnRh3 crystal.

It has space group Pm-3m (No. 221), with a = 4.985 Å, b = 4.985 Å, c = 4.985 Å, α = 90.00°, β = 90.00° and γ = 90.00°. Symmetry generates all atoms from Ba at (0.000, 0.000, 0.000), Sn at (0.500, 0.500, 0.500) and Rh at (0.000, 0.500, 0.500).

The calculation puts the energy relative to the elements at 0.23 eV per atom.



3.
## Ba2SnRh2 (GGA-PBE)

Data for a relaxed Ba2SnRh2 crystal.

It has space group C2/c (No. 15), with a = 10.608 Å, b = 6.425 Å, c = 8.220 Å, α = 90.00°, β = 102.08° and γ = 90.00°. Symmetry generates all atoms from Ba at (0.146, 0.133, 0.145), Sn at (0.000, 0.398, 0.750) and Rh at (0.138, 0.361, 0.502).

The calculation puts the energy relative to the elements at -0.44 eV per atom.



- What is the formula in the second record?
  BaSnRh3